Crystalline Ti2Nb2Ga at its relaxed geometry, computed with PBE.

The calculation puts the density of states at the Fermi level at 11.8 states/eV per cell. The formation energy is -0.142 eV per atom. The magnetization comes out at 0.000 μB/atom.

It has space group C2/m (No. 12), with a = 13.2300 Å, b = 4.6482 Å, c = 2.8631 Å, α = 90.00°, β = 102.00° and γ = 90.00°. The inequivalent atoms are Ti at (0.0959, 0.0000, 0.3768), Nb at (0.2008, 0.5000, 0.8260) and Ga at (0.0000, 0.5000, 0.0000).